No. 1
Material: Sb2AsP
Method: DFT, PBE
State: relaxed Values from VASP.

Cell and atoms, written as Quantum ESPRESSO input:
```
&SYSTEM
  ibrav = 0, nat = 4, ntyp = 3
/
ATOMIC_SPECIES
P 30.97 P.upf
As 74.92 As.upf
Sb 121.76 Sb.upf
ATOMIC_POSITIONS angstrom
P -0.1514 -7.4630 -3.4798
As 1.3977 -4.2505 -1.5927
Sb -1.3567 -2.7073 -1.9426
Sb -0.6997 -6.3143 -0.4702
CELL_PARAMETERS angstrom
-2.2591 0.4966 -3.3080
2.6108 -2.6158 -2.1757
-0.9868 -6.9232 -0.3655
```

Results
- symmetry = Pm (6)
- N(E_F) (states/eV/cell) = 0.29
- raw formation energy (eV per atom) = 0.05

No. 2
Material: SbAs2P
Method: DFT, PBE
State: relaxed Values from VASP.

Cell and atoms, written as Quantum ESPRESSO input:
```
&SYSTEM
  ibrav = 0, nat = 4, ntyp = 3
/
ATOMIC_SPECIES
P 30.97 P.upf
As 74.92 As.upf
Sb 121.76 Sb.upf
ATOMIC_POSITIONS angstrom
P -4.7415 -3.6221 8.9785
As -6.9703 -5.3248 13.1990
As -0.1589 -0.1214 0.3010
Sb -2.2090 -1.6875 4.1829
CELL_PARAMETERS angstrom
-4.8955 -3.0736 4.7160
-1.4008 -3.7832 6.2754
-3.0902 -0.3138 6.7829
```

Results
- symmetry = R3m (160)
- N(E_F) (states/eV/cell) = 0.68
- raw formation energy (eV per atom) = 0.04

No. 3
Material: SbAs2P
Method: DFT, PBE
State: relaxed Values from VASP.

Cell and atoms, written as Quantum ESPRESSO input:
```
&SYSTEM
  ibrav = 0, nat = 4, ntyp = 3
/
ATOMIC_SPECIES
As 74.92 As.upf
Sb 121.76 Sb.upf
P 30.97 P.upf
ATOMIC_POSITIONS angstrom
As -3.4625 7.3519 -4.5029
As -0.0712 0.1512 -0.0926
Sb -1.7669 3.7515 -2.2978
P -5.3006 11.2546 -6.8933
CELL_PARAMETERS angstrom
-0.6967 6.3078 -2.2075
-2.0506 3.9291 -5.0502
-4.3202 4.7693 -1.9333
```

Results
- symmetry = R-3m (166)
- N(E_F) (states/eV/cell) = 1.92
- raw formation energy (eV per atom) = 0.18

No. 4
Material: SbAsP
Method: DFT, PBE
State: relaxed Values from VASP.

Cell and atoms, written as Quantum ESPRESSO input:
```
&SYSTEM
  ibrav = 0, nat = 3, ntyp = 3
/
ATOMIC_SPECIES
As 74.92 As.upf
P 30.97 P.upf
Sb 121.76 Sb.upf
ATOMIC_POSITIONS angstrom
As 0.0000 0.0000 0.0000
P -5.5801 1.3903 0.1827
Sb -2.7900 0.6952 0.0914
CELL_PARAMETERS angstrom
-4.0135 0.0859 -2.4400
-4.0863 -0.8123 2.1705
-3.0603 3.5072 0.6349
```

Results
- symmetry = F-43m (216)
- N(E_F) (states/eV/cell) = 3.23
- raw formation energy (eV per atom) = 0.65

No. 5
Material: Sb2AsP
Method: DFT, PBE
State: relaxed Values from VASP.

Cell and atoms, written as Quantum ESPRESSO input:
```
&SYSTEM
  ibrav = 0, nat = 4, ntyp = 3
/
ATOMIC_SPECIES
As 74.92 As.upf
Sb 121.76 Sb.upf
P 30.97 P.upf
ATOMIC_POSITIONS angstrom
As 5.7397 1.9231 3.2743
Sb 0.1202 0.0403 0.3843
Sb 8.2700 2.7709 2.7843
P 2.5161 0.8431 0.8961
CELL_PARAMETERS angstrom
6.2289 -0.0141 0.1717
4.9630 3.7641 0.1717
-0.0946 -0.0317 4.5493
```

Results
- symmetry = Cm (8)
- N(E_F) (states/eV/cell) = 0.28
- raw formation energy (eV per atom) = 0.07

No. 6
Material: SbAsP
Method: DFT, PBE
State: relaxed Values from VASP.

Cell and atoms, written as Quantum ESPRESSO input:
```
&SYSTEM
  ibrav = 0, nat = 3, ntyp = 3
/
ATOMIC_SPECIES
P 30.97 P.upf
Sb 121.76 Sb.upf
As 74.92 As.upf
ATOMIC_POSITIONS angstrom
P 5.4543 0.4635 1.8310
Sb 9.6325 1.7766 0.9168
As 13.5530 3.0086 0.0589
CELL_PARAMETERS angstrom
7.3899 0.0618 -0.0431
6.4700 3.0432 0.0348
0.9199 -0.9614 2.8232
```

Results
- symmetry = Fmm2 (42)
- N(E_F) (states/eV/cell) = 1.29
- raw formation energy (eV per atom) = 0.49

Density
In order: 5.7 5.4 5.9 5.2 5.4 6.0
Unit: g cm⁻³
Uncorrected energy
In order: -0.3329 -0.3427 -0.3330 -0.3000 -0.3309 -0.3116
Unit: Ry/atom